a | ## Ag4Au5 (PBEsol)

Data for a relaxed structure of Ag4Au5.

Computed properties:
DOS at the Fermi energy (states/eV/atom): 0.248

abc: 8.014 8.014 5.515
angles: 90.00 90.00 120.00
Fractional coordinates of all 18 atoms:
Ag (0.000, 0.000, 0.000)
Ag (0.000, 0.000, 0.500)
Ag (0.000, 0.336, 0.250)
Ag (0.000, 0.664, 0.750)
Ag (0.336, 0.000, 0.250)
Ag (0.336, 0.336, 0.750)
Ag (0.664, 0.000, 0.750)
Ag (0.664, 0.664, 0.250)
Au (0.000, 0.329, 0.750)
Au (0.000, 0.671, 0.250)
Au (0.329, 0.000, 0.750)
Au (0.329, 0.329, 0.250)
Au (0.333, 0.667, 0.000)
Au (0.333, 0.667, 0.500)
Au (0.667, 0.333, 0.000)
Au (0.667, 0.333, 0.500)
Au (0.671, 0.000, 0.250)
Au (0.671, 0.671, 0.750)

=====

b | ## Ag4Au5 (PBEsol)

Data for a relaxed structure of Ag4Au5.

Computed properties:
DOS at the Fermi energy (states/eV/atom): 0.257

abc: 6.434 6.434 6.434
angles: 95.60 95.60 143.58
Fractional coordinates of all 9 atoms:
Ag (0.000, 0.334, 0.334)
Ag (0.000, 0.666, 0.666)
Ag (0.334, 0.000, 0.334)
Ag (0.666, 0.000, 0.666)
Au (0.000, 0.000, 0.000)
Au (0.332, 0.332, 0.665)
Au (0.332, 0.668, 0.000)
Au (0.668, 0.332, 0.000)
Au (0.668, 0.668, 0.335)

=====

b has the most favorable energy; the next structure is 7.9 kJ/mol of atoms above.

=====

a | ## Ag5Au (PBEsol)

Data for a relaxed structure of Ag5Au.

Computed properties:
DOS at the Fermi energy (states/eV/atom): 0.290

abc: 5.510 5.510 6.840
angles: 105.27 105.27 29.94
Fractional coordinates of all 6 atoms:
Ag (0.000, 0.000, 0.000)
Ag (0.054, 0.054, 0.610)
Ag (0.333, 0.333, 0.666)
Ag (0.389, 0.389, 0.279)
Ag (0.666, 0.666, 0.333)
Au (0.723, 0.723, 0.945)

=====

b | ## Ag5Au (PBEsol)

Data for a relaxed structure of Ag5Au.

Computed properties:
DOS at the Fermi energy (states/eV/atom): 0.318

abc: 6.378 6.378 4.074
angles: 90.00 90.00 143.07
Fractional coordinates of all 6 atoms:
Ag (0.000, 0.000, 0.000)
Ag (0.167, 0.833, 0.500)
Ag (0.333, 0.667, 0.000)
Ag (0.667, 0.333, 0.000)
Ag (0.833, 0.167, 0.500)
Au (0.500, 0.500, 0.500)

=====

b has the most favorable energy; the next structure is 0.9 kJ/mol of atoms above.

=====

a | ## AgAu4 (PBEsol)

Data for a relaxed structure of AgAu4.

Computed properties:
DOS at the Fermi energy (states/eV/atom): 0.299

abc: 4.977 4.977 7.071
angles: 117.92 117.92 33.39
Fractional coordinates of all 5 atoms:
Ag (0.000, 0.000, 0.000)
Au (0.200, 0.200, 0.802)
Au (0.399, 0.399, 0.600)
Au (0.601, 0.601, 0.400)
Au (0.800, 0.800, 0.198)

=====

b | ## AgAu4 (PBEsol)

Data for a relaxed structure of AgAu4.

Computed properties:
DOS at the Fermi energy (states/eV/atom): 0.281

abc: 11.845 11.845 11.845
angles: 13.95 13.95 13.95
Fractional coordinates of all 5 atoms:
Ag (0.000, 0.000, 0.000)
Au (0.200, 0.200, 0.200)
Au (0.399, 0.399, 0.399)
Au (0.601, 0.601, 0.601)
Au (0.800, 0.800, 0.800)

=====

a has the most favorable energy; the next structure is 0.9 kJ/mol of atoms above.

=====

a | ## AgAu4 (PBEsol)

Data for a relaxed structure of AgAu4.

Computed properties:
DOS at the Fermi energy (states/eV/atom): 0.282

abc: 10.470 10.470 10.470
angles: 164.30 164.30 22.27
Fractional coordinates of all 5 atoms:
Ag (0.000, 0.000, 0.000)
Au (0.200, 0.200, 0.000)
Au (0.401, 0.401, 0.000)
Au (0.599, 0.599, 0.000)
Au (0.800, 0.800, 0.000)

=====

b | ## AgAu4 (PBEsol)

Data for a relaxed structure of AgAu4.

Computed properties:
DOS at the Fermi energy (states/eV/atom): 0.277

abc: 4.980 4.980 4.980
angles: 99.58 99.58 131.85
Fractional coordinates of all 5 atoms:
Ag (0.000, 0.000, 0.000)
Au (0.200, 0.400, 0.600)
Au (0.400, 0.800, 0.200)
Au (0.600, 0.200, 0.800)
Au (0.800, 0.600, 0.400)

=====

b has the most favorable energy; the next structure is 0.9 kJ/mol of atoms above.